Entry from the Alexandria database: a geometry-optimized VSb3Br structure (PBE).

Output
magnetic moment = 3.1 μB per formula unit
E_tot = -3.39 eV/atom
ΔE to the lowest computed polymorph = 1188.8 meV/atom

```
VSb3Br
1.0
5.431 0.000 0.000
0.000 5.431 0.000
0.000 0.000 5.431
V Sb Br
1 3 1
Direct
0.000 0.000 0.000
0.000 0.500 0.500
0.500 0.000 0.500
0.500 0.500 0.000
0.500 0.500 0.500
```


Entry from the Alexandria database: a geometry-optimized NdTm3In2 structure (PBE).

Output
magnetic moment = 0.0 μB per formula unit
ΔE_f = -0.278 eV per atom
E_tot = -4.22 eV/atom
ΔE to the lowest computed polymorph = 0.0 meV/atom

```
NdTm3In2
1.0
8.903 0.000 0.000
0.000 3.497 0.000
0.000 0.000 22.094
Nd Tm In
4 12 8
Direct
0.162 0.250 0.161
0.338 0.750 0.661
0.662 0.250 0.339
0.838 0.750 0.839
0.040 0.250 0.422
0.108 0.250 0.937
0.210 0.750 0.804
0.290 0.250 0.304
0.392 0.750 0.437
0.460 0.750 0.922
0.540 0.250 0.078
0.608 0.250 0.563
0.710 0.750 0.696
0.790 0.250 0.196
0.892 0.750 0.063
0.960 0.750 0.578
0.016 0.250 0.710
0.245 0.250 0.540
0.255 0.750 0.040
0.484 0.750 0.210
0.516 0.250 0.790
0.745 0.250 0.960
0.755 0.750 0.460
0.984 0.750 0.290
```